# 1
Here is a relaxed structure of CdB2 from OQMD via LeMat-Bulk. Energies are from PBE.

a = 5.4529 Å, b = 5.4529 Å, c = 5.4529 Å
α = 90.00°, β = 90.00°, γ = 90.00°
Closest atoms and distances in Å follow each position.
Space group Fm-3m (No. 225)
Asymmetric unit:
Cd  0.0000  0.0000  0.0000  8 B 2.36
B  0.2500  0.2500  0.2500  4 Cd 2.36

Values from the calculation:
Total DFT energy (no corrections) (Ry/atom): -0.210

# 2
Here is a relaxed structure of CdB2 from OQMD via LeMat-Bulk. Energies are from PBE.

a = 10.0132 Å, b = 10.0132 Å, c = 10.0132 Å
α = 90.00°, β = 90.00°, γ = 90.00°
Closest atoms and distances in Å follow each position.
Space group Fd-3m (No. 227, origin choice 2)
Asymmetric unit:
Cd  0.1250  0.1250  0.1250  4 B 2.17
B  0.0000  0.0000  0.0000  2 Cd 2.17

Values from the calculation:
Total DFT energy (no corrections) (Ry/atom): -0.154

# 3
Here is a relaxed structure of Cd2B from OQMD via LeMat-Bulk. Energies are from PBE.

a = 10.2260 Å, b = 10.2260 Å, c = 10.2260 Å
α = 90.00°, β = 90.00°, γ = 90.00°
Closest atoms and distances in Å follow each position.
Space group Fd-3m (No. 227, origin choice 2)
Asymmetric unit:
Cd  0.0000  0.0000  0.0000  2 B 2.21
B  0.1250  0.1250  0.1250  4 Cd 2.21

Values from the calculation:
Energy above the lowest structure with this stoichiometry (meV per atom): 203
Total DFT energy (no corrections) (Ry/atom): -0.142